LiCd2Mo after structural relaxation. Source: Alexandria via LeMat-Bulk, functional PBE-GGA.

POSCAR file:
```
LiCd2Mo
1.0
-2.0196 2.0196 9.8467
2.0196 -2.0196 9.8467
2.0196 2.0196 -9.8467
Li Cd Mo
2 4 2
Cartesian
0.0000 0.0000 0.0000 Li
0.0000 2.0196 4.9233 Li
3.0293 0.9893 -2.4617 Cd
0.9893 1.0098 2.4617 Cd
-1.0098 1.0303 7.3850 Cd
1.0303 1.0098 12.3084 Cd
2.0196 0.0000 4.9233 Mo
0.0000 0.0000 9.8467 Mo
```

The space group is I-42d. The energy is -22.779 eV for the cell shown. The calculation puts the volume at 161 Å³/cell.